[1]
ReTe4Au | Alexandria | GGA-PBE | relaxed; space-group type = C2/c (15); ΔE to the lowest computed polymorph = 0 meV/atom; crystal system = monoclinic; energy relative to the elements, uncorrected = 0.219 eV per atom
1.0
1.200 1.009 -9.231
-6.334 -2.572 2.654
-0.676 5.892 4.315
Te Re Au
8 2 2
Direct
0.412 0.622 0.064 Te
0.412 0.781 0.647 Te
0.588 0.219 0.353 Te
0.912 0.064 0.622 Te
0.588 0.378 0.936 Te
0.088 0.353 0.219 Te
0.088 0.936 0.378 Te
0.912 0.647 0.781 Te
0.750 0.645 0.355 Re
0.250 0.355 0.645 Re
0.250 0.072 0.928 Au
0.750 0.928 0.072 Au



[2]
Re2TeAu | Alexandria | GGA-PBE | relaxed; space-group type = I-42d (122); crystal system = tetragonal; energy relative to the elements, uncorrected = 0.873 eV per atom
1.0
-1.180 1.081 3.678
2.295 -2.883 1.584
8.113 5.426 3.197
Te Au Re
2 2 4
Direct
0.500 0.500 0.000 Te
0.250 0.750 0.500 Te
0.750 0.250 0.500 Au
0.000 0.000 0.000 Au
0.051 0.625 0.250 Re
0.875 0.949 0.750 Re
0.699 0.125 0.250 Re
0.375 0.301 0.750 Re



[3]
Re2TeAu | Alexandria | GGA-PBE | relaxed; space-group type = C2/m (12); crystal system = monoclinic; energy relative to the elements, uncorrected = 0.827 eV per atom
1.0
-2.738 -0.860 3.602
-1.992 -3.496 2.241
3.671 -0.904 3.761
Re Te Au
2 1 1
Direct
0.500 0.500 0.512 Re
0.000 0.000 0.988 Re
0.750 0.750 0.750 Te
0.250 0.250 0.250 Au



[4]
ReTeAu2 | Alexandria | GGA-PBE | relaxed; space-group type = I-42d (122); crystal system = tetragonal; energy relative to the elements, uncorrected = 0.783 eV per atom
1.0
-1.924 -7.141 2.483
3.525 1.419 6.814
-1.505 -1.896 5.639
Re Au Te
2 4 2
Direct
0.750 0.250 0.500 Re
0.000 0.000 0.000 Re
0.640 0.125 0.250 Au
0.375 0.360 0.750 Au
0.110 0.625 0.250 Au
0.875 0.890 0.750 Au
0.500 0.500 0.000 Te
0.250 0.750 0.500 Te



[5]
ReTe4Au | Alexandria | GGA-PBE | relaxed; space-group type = F-43m (216); ΔE to the lowest computed polymorph = 1173 meV/atom; crystal system = cubic; energy relative to the elements, uncorrected = 1.392 eV per atom
1.0
0.000 4.394 4.394
4.394 0.000 4.394
4.394 4.394 0.000
Te Au Re
4 1 1
Direct
0.875 0.375 0.375 Te
0.375 0.875 0.375 Te
0.375 0.375 0.375 Te
0.375 0.375 0.875 Te
0.750 0.750 0.750 Au
0.000 0.000 0.000 Re



[6]
ReTeAu2 | Alexandria | GGA-PBE | relaxed; space-group type = Imm2 (44); crystal system = orthorhombic; energy relative to the elements, uncorrected = 0.500 eV per atom
1.0
-0.008 3.154 -6.152
3.709 -0.788 -5.780
-4.240 -2.086 5.045
Te Re Au
1 1 2
Direct
0.315 0.815 0.500 Te
0.484 0.484 0.000 Re
0.674 0.174 0.500 Au
0.027 0.027 0.000 Au



[7]
ReTeAu2 | Alexandria | GGA-PBE | relaxed; space-group type = Immm (71); crystal system = orthorhombic; energy relative to the elements, uncorrected = 0.666 eV per atom
1.0
6.635 0.015 -0.002
4.466 4.906 0.002
-5.179 -3.299 2.513
Au Te Re
2 1 1
Direct
0.948 0.948 0.000 Au
0.552 0.552 0.000 Au
0.250 0.750 0.500 Te
0.750 0.250 0.500 Re



[8]
ReTeAu | Alexandria | GGA-PBE | relaxed; space-group type = F-43m (216); ΔE to the lowest computed polymorph = 13 meV/atom; crystal system = cubic; energy relative to the elements, uncorrected = 0.605 eV per atom
1.0
-1.096 -0.879 4.258
-3.411 -2.765 0.912
0.805 -4.058 1.730
Re Au Te
1 1 1
Direct
0.750 0.750 0.750 Re
0.500 0.500 0.500 Au
0.000 0.000 0.000 Te



[9]
ReTeAu2 | Alexandria | GGA-PBE | relaxed; space-group type = Amm2 (38); crystal system = orthorhombic; energy relative to the elements, uncorrected = 0.602 eV per atom
1.0
-0.512 2.081 -4.274
-2.632 -1.029 -0.185
-0.706 5.237 2.634
Te Au Re
1 2 1
Direct
0.500 0.801 0.727 Te
0.500 0.074 0.272 Au
0.000 0.949 0.024 Au
0.000 0.676 0.478 Re



[10]
Re2TeAu | Alexandria | GGA-PBE | relaxed; space-group type = Cmmm (65); crystal system = orthorhombic; energy relative to the elements, uncorrected = 1.129 eV per atom
1.0
2.837 0.019 0.000
-1.311 2.516 0.000
0.000 0.000 10.036
Re Au Te
2 1 1
Direct
0.000 0.000 0.509 Re
0.000 0.000 0.991 Re
0.500 0.500 0.750 Au
0.500 0.500 0.250 Te



[11]
Re2TeAu | Alexandria | GGA-PBE | relaxed; space-group type = Pm (6); crystal system = monoclinic; energy relative to the elements, uncorrected = 0.350 eV per atom
1.0
-0.625 0.915 2.760
-0.204 -2.841 0.896
8.545 -2.851 2.880
Au Te Re
1 1 2
Direct
0.500 0.826 0.800 Au
0.000 0.158 0.466 Te
0.000 0.093 0.033 Re
0.500 0.424 0.201 Re



[12]
ReTeAu | Alexandria | GGA-PBE | relaxed; space-group type = Fmm2 (42); ΔE to the lowest computed polymorph = 250 meV/atom; crystal system = orthorhombic; energy relative to the elements, uncorrected = 0.842 eV per atom
1.0
8.140 0.030 -0.020
7.321 2.921 -0.041
0.819 -1.177 2.640
Te Au Re
1 1 1
Direct
0.310 0.310 0.690 Te
0.020 0.020 0.980 Au
0.670 0.670 0.330 Re



no.,size of the total moment (μB per atom),total DFT energy (no corrections) (eV/atom)
1,0.00,-4.496
2,0.00,-6.956
3,0.00,-7.002
4,0.28,-4.754
5,0.72,-3.324
6,0.00,-5.036
7,0.00,-4.871
8,0.00,-5.684
9,0.00,-4.934
10,0.00,-6.700
11,0.00,-7.479
12,0.06,-5.447